Entry 1:
# SnPbC2 (GGA-PBE, relaxed)
data_SnPbC2
_cell_length_a 5.2170
_cell_length_b 5.2170
_cell_length_c 10.4224
_cell_angle_alpha 90.00
_cell_angle_beta 90.00
_cell_angle_gamma 90.00
_space_group_name_H-M_alt 'I -4 2 d'
_space_group_IT_number 122
_space_group_name_Hall 'I -4 2bw'
loop_
_atom_site_label
_atom_site_fract_x
_atom_site_fract_y
_atom_site_fract_z
Sn1 0.0000 0.0000 0.0000
Pb1 0.0000 0.0000 0.5000
C1 0.2318 0.2500 0.1250
# - energy above the most stable polymorph in this dataset (meV per atom) = 0.0
# - formation energy (eV per atom) = 1.15
# - mass density (g/cm3) = 8.19

---

Entry 2:
# Na5Hg6Ge (GGA-PBE, relaxed)
data_Na5Hg6Ge
_cell_length_a 15.7827
_cell_length_b 7.4994
_cell_length_c 5.2400
_cell_angle_alpha 90.00
_cell_angle_beta 103.65
_cell_angle_gamma 90.00
_space_group_name_H-M_alt 'C 1 2/m 1'
_space_group_IT_number 12
_space_group_name_Hall '-C 2y'
loop_
_atom_site_label
_atom_site_fract_x
_atom_site_fract_y
_atom_site_fract_z
Na1 0.0000 0.0000 0.0000
Na2 0.1630 0.0000 0.6701
Na3 0.1758 0.5000 0.6955
Hg1 0.0000 0.2693 0.5000
Hg2 0.1593 0.2649 0.1768
Ge1 0.0000 0.5000 0.0000
# - formation energy (eV per atom) = -0.19
# - mass density (g/cm3) = 7.67

---

Entry 3:
# K2LiTc (GGA-PBE, relaxed)
data_K2LiTc
_cell_length_a 3.2969
_cell_length_b 3.2969
_cell_length_c 36.8958
_cell_angle_alpha 90.00
_cell_angle_beta 90.00
_cell_angle_gamma 120.00
_space_group_name_H-M_alt 'R 3 m'
_space_group_IT_number 160
_space_group_name_Hall 'R 3 -2"'
loop_
_atom_site_label
_atom_site_fract_x
_atom_site_fract_y
_atom_site_fract_z
K1 0.0000 0.0000 0.0000
K2 0.0000 0.0000 0.2205
Li1 0.0000 0.0000 0.7575
Tc1 0.0000 0.0000 0.4777
# - energy above the most stable polymorph in this dataset (meV per atom) = 142.8
# - formation energy (eV per atom) = 1.05
# - mass density (g/cm3) = 2.63

---

Entry 4:
# BaZr2VS (GGA-PBE, relaxed)
data_BaZr2VS
_cell_length_a 4.9153
_cell_length_b 4.9153
_cell_length_c 5.2549
_cell_angle_alpha 90.00
_cell_angle_beta 90.00
_cell_angle_gamma 90.00
_space_group_name_H-M_alt 'P 4/m m m'
_space_group_IT_number 123
_space_group_name_Hall '-P 4 2'
loop_
_atom_site_label
_atom_site_fract_x
_atom_site_fract_y
_atom_site_fract_z
Ba1 0.0000 0.0000 0.0000
Zr1 0.0000 0.5000 0.5000
V1 0.5000 0.5000 0.5000
S1 0.5000 0.5000 0.0000
# - raw formation energy (eV per atom) = 0.38
# - mass density (g/cm3) = 5.27

---

Entry 5:
# MnTlTe2 (GGA-PBE, relaxed)
data_MnTlTe2
_cell_length_a 7.5813
_cell_length_b 7.5813
_cell_length_c 7.5813
_cell_angle_alpha 90.00
_cell_angle_beta 90.00
_cell_angle_gamma 90.00
_space_group_name_H-M_alt 'F -4 3 m'
_space_group_IT_number 216
_space_group_name_Hall 'F -4 2 3'
loop_
_atom_site_label
_atom_site_fract_x
_atom_site_fract_y
_atom_site_fract_z
Mn1 0.0000 0.0000 0.0000
Tl1 0.2500 0.2500 0.7500
Te1 0.0000 0.0000 0.5000
Te2 0.2500 0.2500 0.2500
# - raw formation energy (eV per atom) = 0.41
# - mass density (g/cm3) = 7.84

---

Entry 6:
# KRb2Na2 (GGA-PBE, relaxed)
data_KRb2Na2
_cell_length_a 11.3036
_cell_length_b 11.3036
_cell_length_c 5.0983
_cell_angle_alpha 90.00
_cell_angle_beta 90.00
_cell_angle_gamma 90.00
_space_group_name_H-M_alt 'P 4/m b m'
_space_group_IT_number 127
_space_group_name_Hall '-P 4 2ab'
loop_
_atom_site_label
_atom_site_fract_x
_atom_site_fract_y
_atom_site_fract_z
K1 0.0000 0.0000 0.0000
Rb1 0.1746 0.3254 0.5000
Na1 0.1183 0.6183 0.0000
# - energy above the most stable polymorph in this dataset (meV per atom) = 0.0
# - formation energy (eV per atom) = 0.03
# - mass density (g/cm3) = 1.31

---

Entry 7:
# Ce2ThSi2 (GGA-PBE, relaxed)
data_Ce2ThSi2
_cell_length_a 7.7254
_cell_length_b 7.7254
_cell_length_c 4.0884
_cell_angle_alpha 90.00
_cell_angle_beta 90.00
_cell_angle_gamma 90.00
_space_group_name_H-M_alt 'P 4/m b m'
_space_group_IT_number 127
_space_group_name_Hall '-P 4 2ab'
loop_
_atom_site_label
_atom_site_fract_x
_atom_site_fract_y
_atom_site_fract_z
Ce1 0.1799 0.3201 0.0000
Th1 0.0000 0.0000 0.5000
Si1 0.1129 0.6129 0.5000
# - energy above the most stable polymorph in this dataset (meV per atom) = 0.0
# - raw formation energy (eV per atom) = -0.59
# - mass density (g/cm3) = 7.74

---

Entry 8:
# LaTe2HN (GGA-PBE, relaxed)
data_LaTe2HN
_cell_length_a 4.1708
_cell_length_b 4.1708
_cell_length_c 5.8886
_cell_angle_alpha 90.00
_cell_angle_beta 90.00
_cell_angle_gamma 90.00
_space_group_name_H-M_alt 'P 4/m m m'
_space_group_IT_number 123
_space_group_name_Hall '-P 4 2'
loop_
_atom_site_label
_atom_site_fract_x
_atom_site_fract_y
_atom_site_fract_z
La1 0.0000 0.0000 0.0000
Te1 0.0000 0.5000 0.5000
H1 0.5000 0.5000 0.5000
N1 0.5000 0.5000 0.0000
# - energy above the most stable polymorph in this dataset (meV per atom) = 0.0
# - mass density (g/cm3) = 6.63

---

Entry 9:
# LaBe2Ni2 (GGA-PBE, relaxed)
data_LaBe2Ni2
_cell_length_a 3.8232
_cell_length_b 3.8232
_cell_length_c 10.0184
_cell_angle_alpha 90.00
_cell_angle_beta 90.00
_cell_angle_gamma 90.00
_space_group_name_H-M_alt 'I 4/m m m'
_space_group_IT_number 139
_space_group_name_Hall '-I 4 2'
loop_
_atom_site_label
_atom_site_fract_x
_atom_site_fract_y
_atom_site_fract_z
La1 0.0000 0.0000 0.0000
Be1 0.0000 0.5000 0.2500
Ni1 0.0000 0.0000 0.3676
# - energy above the most stable polymorph in this dataset (meV per atom) = 0.0
# - formation energy (eV per atom) = -0.21
# - mass density (g/cm3) = 6.22

---

Entry 10:
# La8Ge3IrI4 (GGA-PBE, relaxed)
data_La8Ge3IrI4
_cell_length_a 15.4766
_cell_length_b 8.8684
_cell_length_c 9.3388
_cell_angle_alpha 90.00
_cell_angle_beta 123.56
_cell_angle_gamma 90.00
_space_group_name_H-M_alt 'C 1 2/m 1'
_space_group_IT_number 12
_space_group_name_Hall '-C 2y'
loop_
_atom_site_label
_atom_site_fract_x
_atom_site_fract_y
_atom_site_fract_z
La1 0.0142 0.2369 0.3053
La2 0.2316 0.0000 0.7023
La3 0.2358 0.5000 0.7074
Ge1 0.0000 0.5000 0.5000
Ge2 0.2500 0.2500 0.5000
Ir1 0.0000 0.0000 0.5000
I1 0.0000 0.0000 0.0000
I2 0.0000 0.5000 0.0000
I3 0.2500 0.2500 0.0000
# - raw formation energy (eV per atom) = -1.07
# - mass density (g/cm3) = 6.31

---

Entry 11:
# NpCd2Au8 (GGA-PBE, relaxed)
data_NpCd2Au8
_cell_length_a 8.1266
_cell_length_b 13.6931
_cell_length_c 5.1980
_cell_angle_alpha 90.00
_cell_angle_beta 128.16
_cell_angle_gamma 90.00
_space_group_name_H-M_alt 'C 1 2/m 1'
_space_group_IT_number 12
_space_group_name_Hall '-C 2y'
loop_
_atom_site_label
_atom_site_fract_x
_atom_site_fract_y
_atom_site_fract_z
Np1 0.0000 0.0000 0.0000
Cd1 0.0000 0.3118 0.5000
Au1 0.0000 0.2181 0.0000
Au2 0.0637 0.5000 0.8069
Au3 0.2092 0.1204 0.6386
# - energy above the most stable polymorph in this dataset (meV per atom) = 31.9
# - formation energy (eV per atom) = -0.09
# - mass density (g/cm3) = 14.88

---

Entry 12:
# TaMnRh2 (GGA-PBE, relaxed)
data_TaMnRh2
_cell_length_a 4.1536
_cell_length_b 4.1536
_cell_length_c 7.0011
_cell_angle_alpha 90.00
_cell_angle_beta 90.00
_cell_angle_gamma 90.00
_space_group_name_H-M_alt 'I 4/m m m'
_space_group_IT_number 139
_space_group_name_Hall '-I 4 2'
loop_
_atom_site_label
_atom_site_fract_x
_atom_site_fract_y
_atom_site_fract_z
Ta1 0.0000 0.0000 0.0000
Mn1 0.0000 0.0000 0.5000
Rh1 0.0000 0.5000 0.2500
# - formation energy (eV per atom) = -0.41
# - mass density (g/cm3) = 12.14

---

Entry 13:
# YAu2Cl (GGA-PBE, relaxed)
data_YAu2Cl
_cell_length_a 3.9584
_cell_length_b 3.9584
_cell_length_c 10.7314
_cell_angle_alpha 90.00
_cell_angle_beta 90.00
_cell_angle_gamma 90.00
_space_group_name_H-M_alt 'I 4/m m m'
_space_group_IT_number 139
_space_group_name_Hall '-I 4 2'
loop_
_atom_site_label
_atom_site_fract_x
_atom_site_fract_y
_atom_site_fract_z
Y1 0.0000 0.0000 0.0000
Au1 0.0000 0.5000 0.2500
Cl1 0.0000 0.0000 0.5000
# - raw formation energy (eV per atom) = -0.77
# - mass density (g/cm3) = 10.24